First-principles (PBE-GGA) data for a relaxed KNi3 crystal, as listed in Alexandria via LeMat-Bulk.

The structure in extended XYZ format:
```
8
Lattice="5.046 0.000 0.000 0.000 5.046 0.000 0.000 0.000 5.046" Properties=species:S:1:pos:R:3 pbc="T T T"
K 0.000 0.000 0.000
K 2.523 2.523 2.523
Ni 0.000 1.261 2.523
Ni 0.000 3.784 2.523
Ni 1.261 2.523 0.000
Ni 2.523 0.000 1.261
Ni 2.523 0.000 3.784
Ni 3.784 2.523 0.000
```

Excess energy over the best structure of this formula in the dataset = 661.5 meV/atom
E_form = 1.1921 eV/atom

***

First-principles (PBE-GGA) data for a relaxed KNi4 crystal, as listed in Alexandria via LeMat-Bulk.

The structure in extended XYZ format:
```
5
Lattice="-2.806 2.806 2.806 2.806 -2.806 2.806 2.806 2.806 -2.806" Properties=species:S:1:pos:R:3 pbc="T T T"
K 0.000 0.000 0.000
Ni 1.403 1.403 -1.403
Ni 1.403 -1.403 1.403
Ni -1.403 1.403 1.403
Ni 1.403 1.403 1.403
```

Excess energy over the best structure of this formula in the dataset = 0.0 meV/atom
E_form = 1.9930 eV/atom

***

First-principles (PBE-GGA) data for a relaxed K5Ni crystal, as listed in Alexandria via LeMat-Bulk.

The structure in extended XYZ format:
```
6
Lattice="0.000 5.590 5.590 5.590 0.000 5.590 5.590 5.590 0.000" Properties=species:S:1:pos:R:3 pbc="T T T"
K 0.000 0.000 0.000
K 4.209 4.209 4.209
K 6.972 6.972 4.209
K 6.972 4.209 6.972
K 4.209 6.972 6.972
Ni 8.386 8.386 8.386
```

Excess energy over the best structure of this formula in the dataset = 198.9 meV/atom
E_form = 0.6031 eV/atom

***

First-principles (PBE-GGA) data for a relaxed KNi3 crystal, as listed in Alexandria via LeMat-Bulk.

The structure in extended XYZ format:
```
4
Lattice="4.062 -1.321 0.000 4.062 1.321 0.000 -0.644 0.000 6.651" Properties=species:S:1:pos:R:3 pbc="T T T"
K 0.000 0.000 0.000
Ni 1.453 0.000 4.260
Ni 3.740 0.000 3.326
Ni 6.027 0.000 2.391
```

Excess energy over the best structure of this formula in the dataset = 0.0 meV/atom
E_form = 0.5306 eV/atom

***

First-principles (PBE-GGA) data for a relaxed KNi2 crystal, as listed in Alexandria via LeMat-Bulk.

The structure in extended XYZ format:
```
6
Lattice="1.392 -11.743 0.000 1.392 11.743 0.000 0.000 0.000 4.083" Properties=species:S:1:pos:R:3 pbc="T T T"
K 1.392 9.537 3.062
K 1.392 -9.537 1.021
Ni 1.392 5.499 1.021
Ni 1.392 4.285 3.062
Ni 1.392 -4.285 1.021
Ni 1.392 -5.499 3.062
```

E_form = 0.5696 eV/atom

***

First-principles (PBE-GGA) data for a relaxed KNi2 crystal, as listed in Alexandria via LeMat-Bulk.

The structure in extended XYZ format:
```
3
Lattice="-1.331 1.914 5.645 1.331 -1.914 5.645 1.331 1.914 -5.645" Properties=species:S:1:pos:R:3 pbc="T T T"
K 0.000 0.000 0.000
Ni 0.000 0.000 3.068
Ni 0.000 0.000 8.222
```

E_form = 0.4857 eV/atom

***

First-principles (PBE-GGA) data for a relaxed KNi3 crystal, as listed in Alexandria via LeMat-Bulk.

The structure in extended XYZ format:
```
4
Lattice="2.712 0.000 0.000 -1.356 2.349 0.000 0.000 0.000 9.236" Properties=species:S:1:pos:R:3 pbc="T T T"
K 0.000 0.000 0.000
Ni 0.000 0.000 4.618
Ni 0.000 1.566 2.737
Ni 0.000 1.566 6.499
```

Excess energy over the best structure of this formula in the dataset = 176.2 meV/atom
E_form = 0.7069 eV/atom

***

First-principles (PBE-GGA) data for a relaxed KNi2 crystal, as listed in Alexandria via LeMat-Bulk.

The structure in extended XYZ format:
```
6
Lattice="-2.199 2.199 6.628 2.199 -2.199 6.628 2.199 2.199 -6.628" Properties=species:S:1:pos:R:3 pbc="T T T"
K 2.199 1.099 1.657
K 0.000 1.099 4.971
Ni 2.199 -1.099 3.829
Ni 2.199 -1.099 6.113
Ni 0.000 3.298 0.515
Ni 0.000 3.298 2.799
```

E_form = 0.7645 eV/atom

***

First-principles (PBE-GGA) data for a relaxed KNi5 crystal, as listed in Alexandria via LeMat-Bulk.

The structure in extended XYZ format:
```
6
Lattice="2.888 0.000 0.000 0.000 2.888 0.000 0.000 0.000 10.426" Properties=species:S:1:pos:R:3 pbc="T T T"
K 0.000 0.000 0.000
Ni 0.000 0.000 3.873
Ni 0.000 0.000 6.552
Ni 1.444 1.444 2.612
Ni 1.444 1.444 5.213
Ni 1.444 1.444 7.814
```

E_form = 0.3931 eV/atom

***

First-principles (PBE-GGA) data for a relaxed KNi2 crystal, as listed in Alexandria via LeMat-Bulk.

The structure in extended XYZ format:
```
6
Lattice="5.680 -2.404 0.000 5.680 2.404 0.000 0.000 0.000 4.177" Properties=species:S:1:pos:R:3 pbc="T T T"
K 5.680 1.235 3.133
K 5.680 -1.235 1.044
Ni 2.968 0.606 1.044
Ni 2.968 -0.606 3.133
Ni 8.392 0.606 1.044
Ni 8.392 -0.606 3.133
```

E_form = 0.3474 eV/atom

***

First-principles (PBE-GGA) data for a relaxed KNi2 crystal, as listed in Alexandria via LeMat-Bulk.

The structure in extended XYZ format:
```
3
Lattice="-1.599 1.599 5.773 1.599 -1.599 5.773 1.599 1.599 -5.773" Properties=species:S:1:pos:R:3 pbc="T T T"
K 0.000 0.000 0.000
Ni 0.000 0.000 3.168
Ni 0.000 0.000 8.379
```

E_form = 0.5417 eV/atom

***

First-principles (PBE-GGA) data for a relaxed K5Ni4 crystal, as listed in Alexandria via LeMat-Bulk.

The structure in extended XYZ format:
```
9
Lattice="-5.471 5.471 2.166 5.471 -5.471 2.166 5.471 5.471 -2.166" Properties=species:S:1:pos:R:3 pbc="T T T"
K 0.000 0.000 0.000
K 3.517 3.517 0.000
K 1.955 -1.955 2.166
K -1.955 1.955 2.166
K 1.955 1.955 2.166
Ni 4.363 0.000 0.000
Ni 6.580 0.000 0.000
Ni 0.000 4.363 0.000
Ni 0.000 6.580 0.000
```

E_form = 0.7284 eV/atom

***

First-principles (PBE-GGA) data for a relaxed K2Ni crystal, as listed in Alexandria via LeMat-Bulk.

The structure in extended XYZ format:
```
6
Lattice="-4.509 4.509 2.503 4.509 -4.509 2.503 4.509 4.509 -2.503" Properties=species:S:1:pos:R:3 pbc="T T T"
K 6.014 1.505 0.000
K 1.505 3.004 0.000
K 3.004 1.505 2.503
K -1.505 3.004 2.503
Ni 0.000 0.000 1.252
Ni 0.000 0.000 3.755
```

Excess energy over the best structure of this formula in the dataset = 160.4 meV/atom
E_form = 0.5446 eV/atom

***

First-principles (PBE-GGA) data for a relaxed KNi3 crystal, as listed in Alexandria via LeMat-Bulk.

The structure in extended XYZ format:
```
4
Lattice="1.344 0.776 9.314 -1.344 0.776 9.314 0.000 -1.552 9.314" Properties=species:S:1:pos:R:3 pbc="T T T"
K 0.000 0.000 0.000
Ni 0.000 0.000 6.571
Ni 0.000 0.000 13.971
Ni 0.000 0.000 21.371
```

Excess energy over the best structure of this formula in the dataset = 171.0 meV/atom
E_form = 0.7016 eV/atom

***

First-principles (PBE-GGA) data for a relaxed KNi2 crystal, as listed in Alexandria via LeMat-Bulk.

The structure in extended XYZ format:
```
3
Lattice="5.872 0.000 0.000 0.000 5.872 0.000 0.000 0.000 2.535" Properties=species:S:1:pos:R:3 pbc="T T T"
K 0.000 0.000 0.000
Ni 0.000 2.936 1.267
Ni 2.936 0.000 1.267
```

E_form = 1.6840 eV/atom

***

First-principles (PBE-GGA) data for a relaxed KNi3 crystal, as listed in Alexandria via LeMat-Bulk.

The structure in extended XYZ format:
```
4
Lattice="2.679 0.000 0.000 0.000 3.311 0.000 -0.029 0.000 7.478" Properties=species:S:1:pos:R:3 pbc="T T T"
K 0.000 0.000 0.000
Ni -0.014 0.000 3.739
Ni 1.324 1.655 2.531
Ni 1.326 1.655 4.947
```

Excess energy over the best structure of this formula in the dataset = 3.6 meV/atom
E_form = 0.5342 eV/atom

***

First-principles (PBE-GGA) data for a relaxed KNi2 crystal, as listed in Alexandria via LeMat-Bulk.

The structure in extended XYZ format:
```
6
Lattice="-3.582 3.582 2.518 3.582 -3.582 2.518 3.582 3.582 -2.518" Properties=species:S:1:pos:R:3 pbc="T T T"
K 0.000 0.000 1.259
K 0.000 0.000 3.776
Ni 4.347 0.765 0.000
Ni 0.765 2.817 0.000
Ni 2.817 0.765 2.518
Ni -0.765 2.817 2.518
```

E_form = 1.3188 eV/atom

***

First-principles (PBE-GGA) data for a relaxed KNi3 crystal, as listed in Alexandria via LeMat-Bulk.

The structure in extended XYZ format:
```
4
Lattice="4.469 2.580 0.857 -4.469 2.580 0.857 0.000 -5.161 0.857" Properties=species:S:1:pos:R:3 pbc="T T T"
K 0.000 0.000 0.000
Ni -2.235 -1.290 0.857
Ni -2.235 1.290 1.714
Ni 0.000 2.580 0.857
```

Excess energy over the best structure of this formula in the dataset = 390.5 meV/atom
E_form = 0.9211 eV/atom

***

First-principles (PBE-GGA) data for a relaxed K2Ni crystal, as listed in Alexandria via LeMat-Bulk.

The structure in extended XYZ format:
```
6
Lattice="6.355 -2.500 0.000 6.355 2.500 0.000 -5.264 0.000 7.522" Properties=species:S:1:pos:R:3 pbc="T T T"
K -0.896 0.000 2.831
K -0.812 0.000 6.777
K 8.259 0.000 0.745
K 8.342 0.000 4.691
Ni 3.184 0.000 2.773
Ni 4.263 0.000 4.749
```

Excess energy over the best structure of this formula in the dataset = 152.4 meV/atom
E_form = 0.5367 eV/atom

***

First-principles (PBE-GGA) data for a relaxed KNi3 crystal, as listed in Alexandria via LeMat-Bulk.

The structure in extended XYZ format:
```
16
Lattice="7.364 0.000 0.000 0.000 6.227 0.000 0.000 0.000 6.106" Properties=species:S:1:pos:R:3 pbc="T T T"
K 0.123 1.557 0.691
K 3.559 4.670 3.744
K 3.805 1.557 2.362
K 7.241 4.670 5.414
Ni 1.017 0.415 3.504
Ni 1.017 2.698 3.504
Ni 1.093 4.670 2.079
Ni 2.589 1.557 5.132
Ni 2.665 3.529 0.451
Ni 2.665 5.812 0.451
Ni 4.700 0.415 5.655
Ni 4.700 2.698 5.655
Ni 4.775 4.670 0.974
Ni 6.271 1.557 4.026
Ni 6.347 3.529 2.602
Ni 6.347 5.812 2.602
```

Excess energy over the best structure of this formula in the dataset = 51.5 meV/atom
E_form = 0.5821 eV/atom

***

One value per record, in order, for theoretical density: 5.562; 5.148; 1.208; 5.005; 3.892; 4.518; 6.074; 4.055; 6.350; 4.556; 4.401; 2.755; 2.233; 6.133; 2.973; 5.388; 4.022; 6.025; 1.902; 5.105 Mg/m³.
One value per record, in order, for VASP energy: -3.418; -2.852; -1.275; -4.080; -3.650; -3.734; -3.904; -3.456; -4.608; -3.873; -3.678; -2.451; -2.114; -3.909; -2.536; -4.076; -2.901; -3.689; -2.122; -4.028 eV/atom.